The following is a DFT calculation (PBE) of a geometry-optimized Hg2SbSe2 structure.

abc: 8.2922 8.2922 4.0899
angles: 90.00 90.00 90.00
Space group P4/mbm (No. 127)
One atom of each set of equivalent atoms:
Hg (0.1139, 0.3861, 0.0000) x4
Sb (0.0000, 0.0000, 0.5000) x2
Se (0.2313, 0.7313, 0.5000) x4

- E_form (uncorrected): 0.14 eV per formula unit
- Size of the total moment: 0.0 μB per cell
- DOS(E_F): 2.7 states/eV per cell



The following is a DFT calculation (PBE) of a geometry-optimized Mn2OsCl structure.

abc: 2.7795 4.3046 8.3890
angles: 90.00 90.00 90.00
Space group Immm (No. 71)
One atom of each set of equivalent atoms:
Mn (0.0000, 0.0000, 0.2291) x4
Os (0.0000, 0.5000, 0.0000) x2
Cl (0.0000, 0.5000, 0.5000) x2

- E_form (uncorrected): 3.39 eV per formula unit
- Size of the total moment: 4.6 μB per cell
- Distance to the lowest polymorph of the same formula: 765.5 meV/atom
- DOS(E_F): 10.0 states/eV per cell



The following is a DFT calculation (PBE) of a geometry-optimized PuHfInPb structure.

abc: 7.3774 7.3774 7.3774
angles: 90.00 90.00 90.00
Space group F-43m (No. 216)
One atom of each set of equivalent atoms:
Pu (0.0000, 0.0000, 0.0000) x4
Hf (0.0000, 0.0000, 0.5000) x4
In (0.2500, 0.2500, 0.7500) x4
Pb (0.2500, 0.2500, 0.2500) x4

- ΔH_f (0 K): 0.045 eV per atom
- Size of the total moment: 24.5 μB per cell
- DOS(E_F): 42.7 states/eV per cell



The following is a DFT calculation (PBE) of a geometry-optimized Zr2TeP structure.

abc: 3.4114 3.4114 6.9064
angles: 90.00 90.00 90.00
Space group P4/mmm (No. 123)
One atom of each set of equivalent atoms:
Zr (0.0000, 0.0000, 0.2253) x2
Te (0.5000, 0.5000, 0.5000) x1
P (0.5000, 0.5000, 0.0000) x1

- E_form (uncorrected): -3.30 eV per formula unit
- Size of the total moment: 0.0 μB per cell
- Distance to the lowest polymorph of the same formula: 324.8 meV/atom
- DOS(E_F): 2.4 states/eV per cell